Density functional theory data (PBE with a Hubbard U) for a relaxed structure of Ca5Mn4O9.

Geometry as CIF:
```
data_Ca5Mn4O9
_chemical_formula_sum 'Ca10 Mn8 O18'
_cell_length_a 17.140
_cell_length_b 3.326
_cell_length_c 9.900
_cell_angle_alpha 90.00
_cell_angle_beta 124.82
_cell_angle_gamma 90.00
_symmetry_space_group_name_H-M 'C 1 m 1'
_symmetry_Int_Tables_number 8
loop_
_symmetry_equiv_pos_as_xyz
'x,y,z'
'x,-y,z'
'x+1/2,y+1/2,z'
'x+1/2,-y+1/2,z'
loop_
_atom_site_label
_atom_site_fract_x
_atom_site_fract_y
_atom_site_fract_z
_atom_site_occupancy
Ca1 0.000 0.000 0.000 1
Ca2 0.002 0.000 0.657 1
Ca3 0.169 0.500 0.991 1
Ca4 0.329 0.000 0.657 1
Ca5 0.336 0.000 0.323 1
Mn1 0.004 0.000 0.326 1
Mn2 0.166 0.500 0.656 1
Mn3 0.167 0.500 0.327 1
Mn4 0.333 0.000 0.991 1
O1 0.001 0.500 0.826 1
O2 0.002 0.500 0.169 1
O3 0.005 0.500 0.490 1
O4 0.163 0.000 0.487 1
O5 0.168 0.000 0.166 1
O6 0.171 0.000 0.821 1
O7 0.329 0.500 0.829 1
O8 0.331 0.500 0.488 1
O9 0.337 0.500 0.153 1
```

Properties
Electronic total energy in eV per atom: -7.04